This record from Alexandria describes crystalline Mn5V2H4O12 at its relaxed geometry. The functional is PBE+U.

CIF file:
```
data_Mn5V2H4O12
_chemical_formula_sum 'Mn10 V4 H8 O24'
_symmetry_space_group_name_H-M 'C 1 2/m 1'
_symmetry_Int_Tables_number 12
_cell_length_a 9.794
_cell_length_b 9.577
_cell_length_c 5.439
_cell_angle_alpha 90.00
_cell_angle_beta 98.97
_cell_angle_gamma 90.00
loop_
_symmetry_equiv_pos_as_xyz
'x,y,z'
'-x,-y,-z'
'-x,y,-z'
'x,-y,z'
'x+1/2,y+1/2,z'
'-x+1/2,-y+1/2,-z'
'-x+1/2,y+1/2,-z'
'x+1/2,-y+1/2,z'
loop_
_atom_site_label
_atom_site_fract_x
_atom_site_fract_y
_atom_site_fract_z
Mn1 0.000 0.000 0.000
Mn2 0.000 0.178 0.500
Mn3 0.000 0.345 0.000
V1 0.189 0.500 0.558
H1 0.204 0.158 0.869
O1 0.105 0.167 0.870
O2 0.125 0.500 0.844
O3 0.127 0.000 0.376
O4 0.131 0.353 0.380
```

Results
The total magnetization comes out at 38.00 Bohr magnetons per cell. For the total energy, the calculation gives -6.96 eV per atom.